Computed, not measured: a crystal of MgSc2GeBi relaxed with PBEsol at the SCAN level of DFT. Values from VASP.

Calculated values
Total moment in Bohr magnetons per cell: 0.00
Formation enthalpy at 0 K in eV per atom: 0.4369
E_tot in eV/atom: -25.79
Crystal system: tetragonal
SG: P4/mmm
V in Å³/atom: 25.63
Fermi-level density of states in states/eV/f.u.: 3.6

Structure (Quantum ESPRESSO input):
```
&SYSTEM
  ibrav = 0, nat = 5, ntyp = 4
/
ATOMIC_SPECIES
Mg 24.30 Mg.upf
Sc 44.96 Sc.upf
Ge 72.64 Ge.upf
Bi 208.98 Bi.upf
ATOMIC_POSITIONS crystal
Mg 0.000 0.000 0.000
Sc 0.000 0.500 0.000
Sc 0.500 0.000 0.000
Ge 0.000 0.000 0.500
Bi 0.500 0.500 0.500
CELL_PARAMETERS angstrom
5.232 0.000 0.000
0.000 5.232 0.000
0.000 0.000 4.683
```